1.
Computed, not measured: a relaxed structure of NbHgTe2 at the GGA-PBEsol level of DFT.

Summary:
spin magnetization = 0.00 μB per formula unit
energy relative to the elements, uncorrected = -0.26 eV per atom
final energy = -4.8666 eV per atom

Cell: 3.5532 3.5532 31.9782 Å, 90.00 90.00 120.00°
Space group R-3m (No. 166, hexagonal axes)
Inequivalent atoms, fractional coordinates:
Nb 0.0000 0.0000 0.0000 (multiplicity 3)
Hg 0.0000 0.0000 0.5000 (multiplicity 3)
Te 0.0000 0.0000 0.3920 (multiplicity 6)

=====

2.
Computed, not measured: a relaxed structure of TaIrAu at the GGA-PBEsol level of DFT.

Summary:
ΔE_f = 168 meV/atom
relative energy among the computed polymorphs = 532 meV per atom
spin magnetization = 0.00 μB per formula unit
final energy = -8.5977 eV per atom

Cell: 6.1047 6.1047 6.1047 Å, 90.00 90.00 90.00°
Space group F-43m (No. 216)
Inequivalent atoms, fractional coordinates:
Ta 0.0000 0.0000 0.0000 (multiplicity 4)
Ir 0.2500 0.2500 0.2500 (multiplicity 4)
Au 0.0000 0.0000 0.5000 (multiplicity 4)

=====

Look up the spin magnetization of the first one.
0.00 μB per formula unit